# 1
Li3Dy2HoSn3 | GGA-PBE | relaxed

abc: 4.7289 4.7289 10.6704
angles: 90.00 90.00 120.00
Last column: nearest neighbours and their distance in Å.
Space group P-6m2 (No. 187)
One atom of each set of equivalent atoms:
1 Li 0.0000 0.0000 0.0000 x1  3 Sn 2.73
2 Li 0.3333 0.6667 0.3099 x2  3 Sn 2.74
3 Dy 0.6667 0.3333 0.1653 x2  6 Li 3.14-3.25, 6 Sn 3.25
4 Ho 0.6667 0.3333 0.5000 x1  6 Sn 3.27, 6 Li 3.40, 2 Dy 3.57
5 Sn 0.0000 0.0000 0.3305 x2  3 Li 2.74
6 Sn 0.3333 0.6667 0.0000 x1  3 Li 2.73

Values from the calculation:
- Magnetic moment: 0.00 μB per formula unit
- Raw total energy: -4.110 eV per atom
- Theoretical density: 6.97 g cm⁻³

***

# 2
DyHoLu2 | GGA-PBE | relaxed

abc: 5.5098 7.1108 12.3150
angles: 90.00 90.00 90.00
Last column: nearest neighbours and their distance in Å.
Space group Amm2 (No. 38)
One atom of each set of equivalent atoms:
1 Dy 0.0000 0.2495 0.0000 x4  6 Lu 3.43-3.56, 4 Ho 3.44-3.57, 2 Dy 3.55-3.56
2 Ho 0.0000 0.0000 0.2492 x2  8 Lu 3.44-3.56, 4 Dy 3.54-3.57
3 Ho 0.5000 0.0000 0.5830 x2  8 Lu 3.44-3.56, 4 Dy 3.44
4 Lu 0.0000 0.0000 0.7497 x2  4 Lu 3.43, 4 Ho 3.44-3.56, 4 Dy 3.55-3.56
5 Lu 0.5000 0.0000 0.0825 x2  4 Dy 3.43, 4 Ho 3.44-3.56, 4 Lu 3.55-3.56
6 Lu 0.5000 0.2493 0.8331 x4  6 Lu 3.43-3.57, 2 Dy 3.44, 4 Ho 3.44-3.56

Values from the calculation:
- Magnetic moment: 0.06 μB per formula unit
- Raw total energy: -4.554 eV per atom
- E above lowest polymorph: 0.002 eV/atom
- Theoretical density: 9.32 g cm⁻³
- ΔH_f (0 K): 0.011 eV per formula unit

***

# 3
DyHo2Lu5 | GGA-PBE | relaxed

abc: 5.4888 7.0829 12.2716
angles: 90.00 90.00 90.00
Last column: nearest neighbours and their distance in Å.
Space group Amm2 (No. 38)
One atom of each set of equivalent atoms:
1 Dy 0.0000 0.0000 0.0000 x2  8 Lu 3.42-3.55, 4 Ho 3.43-3.54
2 Ho 0.0000 0.0000 0.4997 x2  10 Lu 3.42-3.55, 2 Dy 3.54
3 Ho 0.5000 0.0000 0.1671 x2  10 Lu 3.42-3.55, 2 Dy 3.43
4 Lu 0.0000 0.2500 0.2508 x4  6 Lu 3.42-3.54, 4 Ho 3.42-3.55, 2 Dy 3.53-3.55
5 Lu 0.5000 0.0000 0.6673 x2  8 Lu 3.42-3.55, 4 Ho 3.43-3.54
6 Lu 0.5000 0.2505 0.4166 x4  6 Lu 3.42-3.55, 2 Dy 3.42, 4 Ho 3.42-3.55

Values from the calculation:
- Magnetic moment: 0.03 μB per formula unit
- Raw total energy: -4.546 eV per atom
- Theoretical density: 9.52 g cm⁻³
- ΔH_f (0 K): 0.005 eV per formula unit

***

# 4
DyHoLu2 | GGA-PBE | relaxed

abc: 5.5087 12.3148 7.1110
angles: 90.00 90.00 90.00
Last column: nearest neighbours and their distance in Å.
Space group Ama2 (No. 40)
One atom of each set of equivalent atoms:
1 Dy 0.2500 0.0833 0.0000 x4  6 Lu 3.43-3.56, 2 Dy 3.43, 4 Ho 3.44-3.56
2 Ho 0.2500 0.3329 0.7500 x4  8 Lu 3.43-3.57, 4 Dy 3.44-3.56
3 Lu 0.2500 0.0836 0.5013 x4  6 Lu 3.43-3.56, 4 Ho 3.44-3.57, 2 Dy 3.55-3.56
4 Lu 0.2500 0.3335 0.2511 x4  4 Dy 3.43-3.56, 4 Lu 3.43-3.56, 4 Ho 3.43-3.56

Values from the calculation:
- Magnetic moment: 0.09 μB per formula unit
- Raw total energy: -4.554 eV per atom
- E above lowest polymorph: 0.002 eV/atom
- Theoretical density: 9.33 g cm⁻³
- ΔH_f (0 K): 0.009 eV per formula unit

***

# 5
DyHoLu | GGA-PBE | relaxed

abc: 7.5473 7.5473 7.5473
angles: 90.00 90.00 90.00
Last column: nearest neighbours and their distance in Å.
Space group F-43m (No. 216)
One atom of each set of equivalent atoms:
1 Dy 0.0000 0.0000 0.0000 x4  4 Lu 3.27
2 Ho 0.0000 0.0000 0.5000 x4  4 Lu 3.27
3 Lu 0.2500 0.2500 0.2500 x4  4 Dy 3.27, 4 Ho 3.27

Values from the calculation:
- Magnetic moment: 0.00 μB per formula unit
- Raw total energy: -3.853 eV per atom
- E above lowest polymorph: 0.000 eV/atom
- Theoretical density: 7.76 g cm⁻³
- ΔH_f (0 K): 2.144 eV per formula unit

***

# 6
Dy2Ho3Lu3 | GGA-PBE | relaxed

abc: 5.5441 7.1263 12.3430
angles: 90.00 90.00 90.00
Last column: nearest neighbours and their distance in Å.
Space group Amm2 (No. 38)
One atom of each set of equivalent atoms:
1 Dy 0.0000 0.0000 0.0000 x2  6 Ho 3.46-3.56, 6 Lu 3.46-3.56
2 Dy 0.5000 0.0000 0.3333 x2  6 Ho 3.45-3.56, 6 Lu 3.46-3.57
3 Ho 0.0000 0.2493 0.7499 x4  4 Ho 3.45-3.57, 4 Lu 3.45-3.57, 4 Dy 3.45-3.56
4 Ho 0.5000 0.0000 0.8329 x2  4 Ho 3.45, 4 Dy 3.46-3.56, 4 Lu 3.55-3.57
5 Lu 0.0000 0.0000 0.5004 x2  4 Lu 3.45, 4 Dy 3.46-3.56, 4 Ho 3.55-3.57
6 Lu 0.5000 0.2494 0.5837 x4  4 Ho 3.45-3.57, 4 Lu 3.45-3.57, 4 Dy 3.46-3.57

Values from the calculation:
- Magnetic moment: 0.23 μB per formula unit
- Raw total energy: -4.560 eV per atom
- Theoretical density: 9.16 g cm⁻³
- ΔH_f (0 K): 0.022 eV per formula unit

***

# 7
Dy2Ho3Lu3 | GGA-PBE | relaxed

abc: 7.1260 7.1260 5.5449
angles: 90.00 90.00 120.00
Last column: nearest neighbours and their distance in Å.
Space group P-6m2 (No. 187)
One atom of each set of equivalent atoms:
1 Dy 0.0000 0.0000 0.0000 x1  6 Lu 3.46, 6 Ho 3.56
2 Dy 0.3333 0.6667 0.5000 x1  6 Ho 3.46, 6 Lu 3.56
3 Ho 0.5004 0.0008 0.0000 x3  4 Lu 3.45, 4 Dy 3.46-3.56, 4 Ho 3.55-3.57
4 Lu 0.3343 0.1672 0.5000 x3  4 Ho 3.45, 4 Dy 3.46-3.56, 4 Lu 3.55-3.57

Values from the calculation:
- Magnetic moment: 0.01 μB per formula unit
- Raw total energy: -4.560 eV per atom
- Theoretical density: 9.16 g cm⁻³
- ΔH_f (0 K): 0.025 eV per formula unit

***

# 8
DyHoLu2 | GGA-PBE | relaxed

abc: 7.1054 12.3132 5.5133
angles: 90.00 90.00 90.00
Last column: nearest neighbours and their distance in Å.
Space group Cmcm (No. 63)
One atom of each set of equivalent atoms:
1 Dy 0.0000 0.1663 0.2500 x4  8 Lu 3.44-3.56, 4 Ho 3.44-3.55
2 Ho 0.0000 0.3340 0.7500 x4  8 Lu 3.44-3.57, 4 Dy 3.44-3.55
3 Lu 0.2500 0.0827 0.7500 x8  4 Lu 3.43-3.55, 4 Ho 3.44-3.57, 4 Dy 3.44-3.56

Values from the calculation:
- Magnetic moment: 0.02 μB per formula unit
- Raw total energy: -4.556 eV per atom
- E above lowest polymorph: 0.000 eV/atom
- Theoretical density: 9.33 g cm⁻³
- ΔH_f (0 K): 0.001 eV per formula unit

***

# 9
Dy5Ho2Lu | GGA-PBE | relaxed

abc: 5.5834 7.1837 12.4407
angles: 90.00 90.00 90.00
Last column: nearest neighbours and their distance in Å.
Space group Amm2 (No. 38)
One atom of each set of equivalent atoms:
1 Dy 0.0000 0.0000 0.0000 x2  4 Ho 3.47-3.59, 8 Dy 3.47-3.59
2 Dy 0.0000 0.2498 0.2500 x4  2 Lu 3.48, 4 Ho 3.48-3.59, 6 Dy 3.48-3.60
3 Dy 0.5000 0.2493 0.9169 x4  6 Dy 3.47-3.60, 4 Ho 3.48-3.60, 2 Lu 3.59
4 Ho 0.0000 0.0000 0.5000 x2  2 Lu 3.48, 10 Dy 3.48-3.59
5 Ho 0.5000 0.0000 0.1662 x2  10 Dy 3.47-3.60, 2 Lu 3.59
6 Lu 0.5000 0.0000 0.6668 x2  8 Dy 3.48-3.59, 4 Ho 3.48-3.59

Values from the calculation:
- Magnetic moment: 0.27 μB per formula unit
- Raw total energy: -4.580 eV per atom
- Theoretical density: 8.77 g cm⁻³
- ΔH_f (0 K): 0.045 eV per formula unit

***

# 10
DyHoLu6 | GGA-PBE | relaxed

abc: 7.0518 7.0518 5.4879
angles: 90.00 90.00 120.00
Last column: nearest neighbours and their distance in Å.
Space group P-6m2 (No. 187)
One atom of each set of equivalent atoms:
1 Dy 0.0000 0.0000 0.0000 x1  12 Lu 3.42-3.53
2 Ho 0.3333 0.6667 0.5000 x1  12 Lu 3.42-3.53
3 Lu 0.3350 0.1675 0.5000 x3  8 Lu 3.41-3.54, 2 Dy 3.42, 2 Ho 3.53
4 Lu 0.5009 0.0017 0.0000 x3  8 Lu 3.41-3.54, 2 Ho 3.42, 2 Dy 3.53

Values from the calculation:
- Magnetic moment: 0.08 μB per formula unit
- Raw total energy: -4.540 eV per atom
- Theoretical density: 9.68 g cm⁻³
- ΔH_f (0 K): -0.002 eV per formula unit

***

# 11
Dy2Ho5Lu | GGA-PBE | relaxed

abc: 5.5818 7.1573 12.3971
angles: 90.00 90.00 90.00
Last column: nearest neighbours and their distance in Å.
Space group Amm2 (No. 38)
One atom of each set of equivalent atoms:
1 Dy 0.0000 0.0000 0.0000 x2  2 Lu 3.48, 10 Ho 3.48-3.58
2 Dy 0.5000 0.0000 0.3334 x2  10 Ho 3.47-3.58, 2 Lu 3.58
3 Ho 0.0000 0.0000 0.5004 x2  8 Ho 3.47-3.59, 4 Dy 3.47-3.58
4 Ho 0.0000 0.2494 0.7498 x4  2 Lu 3.47, 6 Ho 3.47-3.59, 4 Dy 3.48-3.58
5 Ho 0.5000 0.2493 0.5835 x4  6 Ho 3.47-3.59, 4 Dy 3.48-3.58, 2 Lu 3.57-3.59
6 Lu 0.5000 0.0000 0.8330 x2  8 Ho 3.47-3.59, 4 Dy 3.48-3.58

Values from the calculation:
- Magnetic moment: 0.19 μB per formula unit
- Raw total energy: -4.573 eV per atom
- Theoretical density: 8.88 g cm⁻³
- ΔH_f (0 K): 0.028 eV per formula unit

***

# 12
DyHoLu2 | GGA-PBE | relaxed

abc: 5.5304 7.0976 12.2935
angles: 90.00 90.00 90.00
Last column: nearest neighbours and their distance in Å.
Space group Amm2 (No. 38)
One atom of each set of equivalent atoms:
1 Dy 0.0000 0.0000 0.0000 x2  8 Lu 3.44-3.55, 4 Ho 3.55
2 Dy 0.5000 0.0000 0.3334 x2  8 Lu 3.44-3.55, 4 Ho 3.44
3 Ho 0.0000 0.2493 0.7499 x4  6 Lu 3.44-3.56, 4 Dy 3.44-3.55, 2 Ho 3.54-3.56
4 Lu 0.0000 0.0000 0.5005 x2  4 Lu 3.44, 4 Dy 3.44-3.55, 4 Ho 3.54-3.56
5 Lu 0.5000 0.0000 0.8329 x2  4 Ho 3.44, 4 Dy 3.44-3.55, 4 Lu 3.54-3.56
6 Lu 0.5000 0.2492 0.5836 x4  6 Lu 3.44-3.56, 2 Ho 3.44, 4 Dy 3.45-3.55

Values from the calculation:
- Magnetic moment: 0.05 μB per formula unit
- Raw total energy: -4.555 eV per atom
- E above lowest polymorph: 0.002 eV/atom
- Theoretical density: 9.32 g cm⁻³
- ΔH_f (0 K): 0.007 eV per formula unit

***

# 13
Dy2Ho3Lu2Ni2Te2 | GGA-PBE | relaxed

abc: 3.8293 15.4340 9.4730
angles: 90.00 90.00 90.00
Last column: nearest neighbours and their distance in Å.
Space group Imm2 (No. 44)
One atom of each set of equivalent atoms:
1 Dy 0.0000 0.1466 0.0000 x4  2 Ni 2.81, 2 Te 3.14
2 Ho 0.0000 0.3656 0.8528 x4  2 Ni 2.77
3 Ho 0.0000 0.5000 0.2704 x2  3 Te 3.16-3.21
4 Lu 0.0000 0.1850 0.6475 x4  2 Ni 2.75
5 Ni 0.0000 0.2638 0.3390 x4  2 Lu 2.75, 2 Ho 2.77, 2 Dy 2.81
6 Te 0.0000 0.0000 0.5046 x2  2 Lu 3.16, 6 Ho 3.16-3.17
7 Te 0.0000 0.5000 0.6093 x2  3 Ho 3.10-3.21, 4 Dy 3.14

Values from the calculation:
- Magnetic moment: 0.01 μB per formula unit
- Raw total energy: -5.176 eV per atom
- Theoretical density: 9.15 g cm⁻³

***

# 14
Dy2Ho3LuSb2Os | GGA-PBE | relaxed

abc: 4.1986 14.1480 8.1331
angles: 90.00 90.00 90.00
Last column: nearest neighbours and their distance in Å.
Space group Amm2 (No. 38)
One atom of each set of equivalent atoms:
1 Dy 0.0000 0.1960 0.0000 x4  1 Os 3.24, 4 Sb 3.27-3.29, 4 Ho 3.49
2 Ho 0.5000 0.0000 0.0362 x2  2 Os 2.88, 2 Sb 3.19
3 Ho 0.5000 0.1202 0.6831 x4  2 Os 2.85, 2 Sb 3.15-3.19
4 Lu 0.0000 0.0000 0.4152 x2  1 Os 3.08, 4 Sb 3.27
5 Sb 0.5000 0.1655 0.3035 x4  3 Ho 3.15-3.19, 4 Dy 3.27-3.29, 2 Lu 3.27
6 Os 0.0000 0.0000 0.7935 x2  6 Ho 2.85-2.88, 1 Lu 3.08

Values from the calculation:
- Magnetic moment: 0.02 μB per formula unit
- Raw total energy: -5.875 eV per atom
- Theoretical density: 9.82 g cm⁻³

***

# 15
DyHo2Lu3Te2Os | GGA-PBE | relaxed

abc: 4.0423 14.1425 8.1709
angles: 90.00 90.00 90.00
Last column: nearest neighbours and their distance in Å.
Space group Amm2 (No. 38)
One atom of each set of equivalent atoms:
1 Dy 0.0000 0.0000 0.0000 x2  1 Os 3.18, 4 Te 3.24, 4 Lu 3.43
2 Ho 0.0000 0.1945 0.5836 x4  1 Os 3.18, 4 Te 3.24, 4 Lu 3.43
3 Lu 0.5000 0.0000 0.6247 x2  2 Os 2.79
4 Lu 0.5000 0.1179 0.2714 x4  2 Os 2.79
5 Te 0.5000 0.1667 0.8891 x4  3 Lu 3.19-3.20, 2 Dy 3.24, 4 Ho 3.24
6 Os 0.0000 0.0000 0.3893 x2  6 Lu 2.79

Values from the calculation:
- Magnetic moment: 0.01 μB per formula unit
- Raw total energy: -5.725 eV per atom
- Theoretical density: 10.40 g cm⁻³

***

# 16
Dy2HoLu3Te2Os | GGA-PBE | relaxed

abc: 4.0406 14.1681 8.1661
angles: 90.00 90.00 90.00
Last column: nearest neighbours and their distance in Å.
Space group Amm2 (No. 38)
One atom of each set of equivalent atoms:
1 Dy 0.0000 0.1945 0.0000 x4  1 Os 3.18, 4 Te 3.24, 4 Lu 3.43
2 Ho 0.0000 0.0000 0.4169 x2  1 Os 3.17, 4 Te 3.24, 4 Lu 3.43
3 Lu 0.5000 0.0000 0.0413 x2  2 Os 2.79
4 Lu 0.5000 0.1177 0.6874 x4  2 Os 2.79
5 Te 0.5000 0.1666 0.3056 x4  3 Lu 3.19-3.20, 4 Dy 3.24, 2 Ho 3.24
6 Os 0.0000 0.0000 0.8050 x2  6 Lu 2.79

Values from the calculation:
- Magnetic moment: 0.01 μB per formula unit
- Raw total energy: -5.730 eV per atom
- Theoretical density: 10.37 g cm⁻³

***

# 17
DyHo4Lu2Te2Pd2 | GGA-PBE | relaxed

abc: 3.9309 15.5763 9.5600
angles: 90.00 90.00 90.00
Last column: nearest neighbours and their distance in Å.
Space group Imm2 (No. 44)
One atom of each set of equivalent atoms:
1 Dy 0.0000 0.0000 0.0000 x2  3 Te 3.20-3.24
2 Ho 0.0000 0.1304 0.5840 x4  2 Pd 2.87, 3 Te 3.10-3.18
3 Ho 0.0000 0.3558 0.7355 x4  2 Pd 2.91, 2 Te 3.14
4 Lu 0.0000 0.3170 0.3746 x4  2 Pd 2.82, 1 Te 3.15
5 Te 0.0000 0.0000 0.3387 x2  6 Ho 3.10-3.14, 1 Dy 3.24
6 Te 0.0000 0.5000 0.2353 x2  2 Lu 3.15, 4 Ho 3.18, 2 Dy 3.20
7 Pd 0.0000 0.2361 0.0683 x4  2 Lu 2.82, 4 Ho 2.87-2.91

Values from the calculation:
- Magnetic moment: 0.01 μB per formula unit
- Raw total energy: -5.278 eV per atom
- Theoretical density: 9.31 g cm⁻³

***

# 18
Dy3Ho2Lu2Te2Pd2 | GGA-PBE | relaxed

abc: 3.9335 15.5763 9.5979
angles: 90.00 90.00 90.00
Last column: nearest neighbours and their distance in Å.
Space group Imm2 (No. 44)
One atom of each set of equivalent atoms:
1 Dy 0.0000 0.0000 0.0000 x2  3 Te 3.20-3.22
2 Dy 0.0000 0.1298 0.5830 x4  2 Pd 2.89, 3 Te 3.12-3.19
3 Ho 0.0000 0.3555 0.7350 x4  2 Pd 2.90, 2 Te 3.14
4 Lu 0.0000 0.3174 0.3751 x4  2 Pd 2.82, 1 Te 3.14
5 Te 0.0000 0.0000 0.3356 x2  3 Dy 3.12-3.22, 4 Ho 3.14
6 Te 0.0000 0.5000 0.2374 x2  2 Lu 3.14, 6 Dy 3.19-3.20
7 Pd 0.0000 0.2348 0.0676 x4  2 Lu 2.82, 2 Dy 2.89, 2 Ho 2.90

Values from the calculation:
- Magnetic moment: 0.01 μB per formula unit
- Raw total energy: -5.281 eV per atom
- Theoretical density: 9.24 g cm⁻³

***

# 19
DyHoMg | GGA-PBE | relaxed

abc: 7.3639 7.3639 7.3639
angles: 90.00 90.00 90.00
Last column: nearest neighbours and their distance in Å.
Space group F-43m (No. 216)
One atom of each set of equivalent atoms:
1 Dy 0.0000 0.0000 0.0000 x4  4 Mg 3.19
2 Ho 0.0000 0.0000 0.5000 x4  4 Mg 3.19
3 Mg 0.2500 0.2500 0.2500 x4  4 Ho 3.19, 4 Dy 3.19

Values from the calculation:
- Magnetic moment: 0.04 μB per formula unit
- Raw total energy: -3.147 eV per atom
- E above lowest polymorph: 0.488 eV/atom
- Theoretical density: 5.85 g cm⁻³

***

# 20
Dy3HoMg2 | GGA-PBE | relaxed

abc: 5.4595 3.6516 17.1980
angles: 90.00 90.00 90.00
Last column: nearest neighbours and their distance in Å.
Space group Amm2 (No. 38)
One atom of each set of equivalent atoms:
1 Dy 0.0000 0.0000 0.0000 x2  2 Mg 3.32, 4 Ho 3.38, 6 Dy 3.56-3.65
2 Dy 0.0000 0.0000 0.3201 x2  6 Mg 3.29-3.32, 2 Ho 3.56, 4 Dy 3.59-3.65
3 Dy 0.5000 0.0000 0.1328 x2  6 Mg 3.29-3.32, 4 Dy 3.56-3.65, 2 Ho 3.59
4 Ho 0.5000 0.0000 0.4529 x2  2 Mg 3.32, 8 Dy 3.38-3.59, 2 Ho 3.65
5 Mg 0.0000 0.0000 0.6612 x2  8 Dy 3.29-3.32, 4 Mg 3.53-3.65
6 Mg 0.5000 0.0000 0.7917 x2  6 Dy 3.29-3.32, 2 Ho 3.32, 4 Mg 3.53-3.65

Values from the calculation:
- Magnetic moment: 0.02 μB per formula unit
- Raw total energy: -3.639 eV per atom
- Theoretical density: 6.79 g cm⁻³